(1)
The following is a PBE calculation of a relaxed Pu2Ge6RuRh crystal, from Alexandria via LeMat-Bulk.

Computed properties:
energy of formation from the pure elements = -267 meV per atom

Cell: 6.0503 6.0503 38.1284 Å, 90.00 90.00 120.00°
Space group R-3m (No. 166, hexagonal axes)
Inequivalent atoms, fractional coordinates:
Pu1 0.0000 0.0000 0.1224 (multiplicity 6)
Pu2 0.0000 0.0000 0.2848 (multiplicity 6)
Ge1 0.0364 0.5182 0.7179 (multiplicity 18)
Ge2 0.0568 0.5284 0.8712 (multiplicity 18)
Ru1 0.0000 0.0000 0.4247 (multiplicity 6)
Rh1 0.0000 0.0000 0.0000 (multiplicity 3)
Rh2 0.0000 0.0000 0.5000 (multiplicity 3)


(2)
The following is a PBE calculation of a relaxed YCr2Si crystal, from Alexandria via LeMat-Bulk.

Computed properties:
formation energy from raw total energies = 1.3 eV per formula unit

Cell: 4.1568 4.1568 17.4798 Å, 90.00 90.00 90.00°
Space group I-42d (No. 122)
Inequivalent atoms, fractional coordinates:
Y1 0.0000 0.0000 0.0000 (multiplicity 4)
Cr1 0.0677 0.7500 0.6250 (multiplicity 8)
Si1 0.0000 0.0000 0.5000 (multiplicity 4)


(3)
The following is a PBE calculation of a relaxed InSb2S crystal, from Alexandria via LeMat-Bulk.

Computed properties:
formation energy from raw total energies = 0.7 eV per formula unit

Cell: 5.8179 5.8179 15.5078 Å, 90.00 90.00 90.00°
Space group I-42d (No. 122)
Inequivalent atoms, fractional coordinates:
In1 0.0000 0.0000 0.0000 (multiplicity 4)
Sb1 0.2004 0.2500 0.6250 (multiplicity 8)
S1 0.0000 0.0000 0.5000 (multiplicity 4)


(4)
The following is a PBE calculation of a relaxed CeSm5Y crystal, from Alexandria via LeMat-Bulk.

Computed properties:
energy of formation from the pure elements = 277 meV per atom

Cell: 5.3953 5.6447 7.8287 Å, 101.57 90.17 90.30°
Space group P-1 (No. 2)
Inequivalent atoms, fractional coordinates:
Ce1 0.0000 0.0000 0.0000 (multiplicity 1)
Sm1 0.0000 0.0000 0.5000 (multiplicity 1)
Sm2 0.0024 0.5333 0.7879 (multiplicity 2)
Sm3 0.4992 0.8513 0.1756 (multiplicity 2)
Y1 0.5000 0.5000 0.5000 (multiplicity 1)


(5)
The following is a PBE calculation of a relaxed TiIn2W2 crystal, from Alexandria via LeMat-Bulk.

Computed properties:
energy of formation from the pure elements = 669 meV per atom

Cell: 8.2116 8.2116 2.9036 Å, 90.00 90.00 90.00°
Space group P4/mbm (No. 127)
Inequivalent atoms, fractional coordinates:
Ti1 0.0000 0.0000 0.0000 (multiplicity 2)
In1 0.1849 0.3151 0.5000 (multiplicity 4)
W1 0.1102 0.6102 0.0000 (multiplicity 4)


(6)
The following is a PBE calculation of a relaxed LiIrI2 crystal, from Alexandria via LeMat-Bulk.

Computed properties:
formation energy from raw total energies = 0.2 eV per formula unit

Cell: 6.0692 6.0692 13.1847 Å, 90.00 90.00 90.00°
Space group I-42d (No. 122)
Inequivalent atoms, fractional coordinates:
Li1 0.0000 0.0000 0.0000 (multiplicity 4)
Ir1 0.0000 0.0000 0.5000 (multiplicity 4)
I1 0.2245 0.2500 0.6250 (multiplicity 8)


(7)
The following is a PBE calculation of a relaxed MgMo4Pt crystal, from Alexandria via LeMat-Bulk.

Computed properties:
energy of formation from the pure elements = 235 meV per atom

Cell: 7.4016 7.4016 7.4016 Å, 90.00 90.00 90.00°
Space group F-43m (No. 216)
Inequivalent atoms, fractional coordinates:
Mg1 0.0000 0.0000 0.0000 (multiplicity 4)
Mo1 0.1266 0.1266 0.3734 (multiplicity 16)
Pt1 0.2500 0.2500 0.7500 (multiplicity 4)


(8)
The following is a PBE calculation of a relaxed PrHoMgIr crystal, from Alexandria via LeMat-Bulk.

Computed properties:
energy of formation from the pure elements = -357 meV per atom

Cell: 7.2423 7.2423 7.2423 Å, 90.00 90.00 90.00°
Space group F-43m (No. 216)
Inequivalent atoms, fractional coordinates:
Pr1 0.0000 0.0000 0.0000 (multiplicity 4)
Ho1 0.0000 0.0000 0.5000 (multiplicity 4)
Mg1 0.2500 0.2500 0.7500 (multiplicity 4)
Ir1 0.2500 0.2500 0.2500 (multiplicity 4)


(9)
The following is a PBE calculation of a relaxed Mg2FeTe crystal, from Alexandria via LeMat-Bulk.

Computed properties:
formation energy from raw total energies = 0.6 eV per formula unit

Cell: 4.3435 4.5037 8.6234 Å, 90.00 90.00 90.00°
Space group Cmmm (No. 65)
Inequivalent atoms, fractional coordinates:
Mg1 0.0000 0.0000 0.1936 (multiplicity 4)
Fe1 0.0000 0.5000 0.0000 (multiplicity 2)
Te1 0.0000 0.5000 0.5000 (multiplicity 2)


(10)
The following is a PBE calculation of a relaxed Np2AlB2Ru5 crystal, from Alexandria via LeMat-Bulk.

Computed properties:
energy of formation from the pure elements = -417 meV per atom

Cell: 9.6018 9.6018 3.0652 Å, 90.00 90.00 90.00°
Space group P4/mbm (No. 127)
Inequivalent atoms, fractional coordinates:
Np1 0.1767 0.3233 0.0000 (multiplicity 4)
Al1 0.0000 0.0000 0.0000 (multiplicity 2)
B1 0.1233 0.6233 0.0000 (multiplicity 4)
Ru1 0.0000 0.5000 0.5000 (multiplicity 2)
Ru2 0.0701 0.7828 0.5000 (multiplicity 8)


(11)
The following is a PBE calculation of a relaxed CsGaS crystal, from Alexandria via LeMat-Bulk.

Computed properties:
formation energy from raw total energies = -1.8 eV per formula unit

Cell: 4.1746 4.1746 6.5332 Å, 90.00 90.00 120.00°
Space group P3m1 (No. 156)
Inequivalent atoms, fractional coordinates:
Cs1 0.0000 0.0000 0.0000 (multiplicity 1)
Ga1 0.3333 0.6667 0.5476 (multiplicity 1)
S1 0.6667 0.3333 0.3661 (multiplicity 1)


(12)
The following is a PBE calculation of a relaxed Tb4Bi2H crystal, from Alexandria via LeMat-Bulk.

Computed properties:
E_tot = -4.845 eV per atom

Cell: 6.3697 6.4967 9.2437 Å, 90.00 107.95 90.00°
Space group P2_1/m (No. 11)
Inequivalent atoms, fractional coordinates:
Tb1 0.0401 0.0015 0.3051 (multiplicity 4)
Tb2 0.3521 0.7500 0.0521 (multiplicity 2)
Tb3 0.4319 0.7500 0.6635 (multiplicity 2)
Bi1 0.1911 0.2500 0.0239 (multiplicity 2)
Bi2 0.3612 0.2500 0.6060 (multiplicity 2)
H1 0.2012 0.7500 0.7994 (multiplicity 2)


(13)
The following is a PBE calculation of a relaxed La5Tb3Y2 crystal, from Alexandria via LeMat-Bulk.

Computed properties:
energy of formation from the pure elements = 156 meV per atom

Cell: 10.9108 14.8320 10.2809 Å, 90.00 122.03 90.00°
Space group C2/c (No. 15)
Inequivalent atoms, fractional coordinates:
La1 0.0000 0.0221 0.2500 (multiplicity 4)
La2 0.0000 0.2319 0.2500 (multiplicity 4)
La3 0.0000 0.2739 0.7500 (multiplicity 4)
La4 0.2472 0.3792 0.2461 (multiplicity 8)
Tb1 0.0000 0.4817 0.7500 (multiplicity 4)
Tb2 0.1556 0.1241 0.0592 (multiplicity 8)
Y1 0.1553 0.3793 0.5617 (multiplicity 8)


(14)
The following is a PBE calculation of a relaxed Pm7FeBr12 crystal, from Alexandria via LeMat-Bulk.

Computed properties:
formation energy from raw total energies = -31.2 eV per formula unit

Cell: 15.1213 15.1213 10.7064 Å, 90.00 90.00 120.00°
Space group R-3 (No. 148, hexagonal axes)
Inequivalent atoms, fractional coordinates:
Pm1 0.0000 0.0000 0.0000 (multiplicity 3)
Pm2 0.0412 0.8784 0.3593 (multiplicity 18)
Fe1 0.0000 0.0000 0.5000 (multiplicity 3)
Br1 0.0226 0.4368 0.1568 (multiplicity 18)
Br2 0.0447 0.8751 0.8358 (multiplicity 18)


(15)
The following is a PBE calculation of a relaxed Cd12Hg5I3 crystal, from Alexandria via LeMat-Bulk.

Computed properties:
formation energy from raw total energies = 1.3 eV per formula unit

Cell: 18.0521 18.0521 18.0521 Å, 90.00 90.00 90.00°
Space group Ia-3d (No. 230)
Inequivalent atoms, fractional coordinates:
Cd1 0.0583 0.0775 0.6224 (multiplicity 96)
Hg1 0.0000 0.0000 0.0000 (multiplicity 16)
Hg2 0.0000 0.2500 0.3750 (multiplicity 24)
I1 0.0000 0.2500 0.1250 (multiplicity 24)


(16)
The following is a PBE calculation of a relaxed Pr3Sm4Ho crystal, from Alexandria via LeMat-Bulk.

Computed properties:
energy of formation from the pure elements = 208 meV per atom

Cell: 25.6024 3.4963 6.2707 Å, 90.00 95.09 90.00°
Space group C2/m (No. 12)
Inequivalent atoms, fractional coordinates:
Pr1 0.0000 0.0000 0.0000 (multiplicity 2)
Pr2 0.1445 0.0000 0.2559 (multiplicity 4)
Sm1 0.1059 0.0000 0.7411 (multiplicity 4)
Sm2 0.2214 0.5000 0.7372 (multiplicity 4)
Ho1 0.0000 0.5000 0.5000 (multiplicity 2)


(17)
The following is a PBE calculation of a relaxed NaInSn2 crystal, from Alexandria via LeMat-Bulk.

Computed properties:
energy of formation from the pure elements = -53 meV per atom

Cell: 4.6617 12.3912 7.9953 Å, 90.00 90.00 90.00°
Space group Cmcm (No. 63)
Inequivalent atoms, fractional coordinates:
Na1 0.0000 0.0576 0.2500 (multiplicity 4)
In1 0.0000 0.2274 0.7500 (multiplicity 4)
Sn1 0.0000 0.3830 0.0511 (multiplicity 8)


(18)
The following is a PBE calculation of a relaxed GdYNi2 crystal, from Alexandria via LeMat-Bulk.

Computed properties:
energy of formation from the pure elements = -353 meV per atom

Cell: 4.8405 4.8405 3.3529 Å, 90.00 90.00 90.00°
Space group P4/mmm (No. 123)
Inequivalent atoms, fractional coordinates:
Gd1 0.0000 0.0000 0.0000 (multiplicity 1)
Y1 0.5000 0.5000 0.0000 (multiplicity 1)
Ni1 0.0000 0.5000 0.5000 (multiplicity 2)


(19)
The following is a PBE calculation of a relaxed HoTmCdOs crystal, from Alexandria via LeMat-Bulk.

Computed properties:
energy of formation from the pure elements = -247 meV per atom

Cell: 7.0285 7.0285 7.0285 Å, 90.00 90.00 90.00°
Space group F-43m (No. 216)
Inequivalent atoms, fractional coordinates:
Ho1 0.0000 0.0000 0.0000 (multiplicity 4)
Tm1 0.0000 0.0000 0.5000 (multiplicity 4)
Cd1 0.2500 0.2500 0.7500 (multiplicity 4)
Os1 0.2500 0.2500 0.2500 (multiplicity 4)


(20)
The following is a PBE calculation of a relaxed Ca2AlCd crystal, from Alexandria via LeMat-Bulk.

Computed properties:
energy of formation from the pure elements = -49 meV per atom

Cell: 3.7266 3.7266 29.6987 Å, 90.00 90.00 120.00°
Space group R-3m (No. 166, hexagonal axes)
Inequivalent atoms, fractional coordinates:
Ca1 0.0000 0.0000 0.2478 (multiplicity 6)
Al1 0.0000 0.0000 0.5000 (multiplicity 3)
Cd1 0.0000 0.0000 0.0000 (multiplicity 3)